{
  "formula": "CdCoBi2F",
  "functional": "PBE with a Hubbard U",
  "state": "relaxed",
  "cell": [[5.443, 0.000, 0.000], [0.000, 5.443, 0.000], [0.000, 0.000, 3.823]],
  "species": ["Cd", "Co", "Bi", "Bi", "F"],
  "fractional_positions": [[0.000, 0.000, 0.000], [0.500, 0.500, 0.500], [0.000, 0.500, 0.500], [0.500, 0.000, 0.500], [0.500, 0.500, 0.000]],
  "dft_energy_ev_per_atom": -3.36,
  "rho_g_cm3": 8.9
}